Here is an optimized crystal structure of BeHg3Bi from Alexandria. Energies are from PBE-GGA.

abc: 4.930 4.930 4.930
angles: 90.00 90.00 90.00
Fractional coordinates of all 5 atoms:
Be 0.000 0.000 0.000
Bi 0.500 0.500 0.500
Hg 0.000 0.500 0.000
Hg 0.000 0.000 0.500
Hg 0.500 0.000 0.000

Values from the calculation:
* space group: No. 221
* energy relative to the lowest polymorph listed for this composition: 0 meV per atom
* Fermi-level density of states: 2.31 states/eV/cell
* formation energy from the elements: 0.32 eV per atom
* VASP energy: -6.9 eV per cell

Here is an optimized crystal structure of CeNdGeAu from Alexandria. Energies are from PBE-GGA.

abc: 4.194 4.432 5.985
angles: 90.00 110.51 90.00
Fractional coordinates of all 4 atoms:
Ce 0.137 0.000 0.274
Nd 0.859 0.500 0.719
Ge 0.584 0.500 0.168
Au 0.420 0.000 0.839

Values from the calculation:
* space group: No. 38
* energy relative to the lowest polymorph listed for this composition: 0 meV per atom
* Fermi-level density of states: 7.29 states/eV/cell
* formation energy from the elements: -0.73 eV per atom
* VASP energy: -21.5 eV per cell

Here is an optimized crystal structure of RbTaBe from Alexandria. Energies are from PBE-GGA.

abc: 4.032 4.032 6.240
angles: 90.00 90.00 120.00
Fractional coordinates of all 3 atoms:
Be 0.000 0.000 0.000
Rb 0.667 0.333 0.500
Ta 0.333 0.667 0.000

Values from the calculation:
* space group: No. 187
* energy relative to the lowest polymorph listed for this composition: 1105 meV per atom
* Fermi-level density of states: 1.66 states/eV/cell
* formation energy from the elements: 1.56 eV per atom
* VASP energy: -11.9 eV per cell

Here is an optimized crystal structure of La3BiPtN from Alexandria. Energies are from PBE-GGA.

abc: 4.344 9.142 9.759
angles: 102.62 90.00 90.00
Fractional coordinates of all 12 atoms:
La 0.250 0.838 0.480
La 0.750 0.891 0.162
La 0.750 0.428 0.150
La 0.750 0.162 0.520
La 0.250 0.572 0.850
La 0.250 0.109 0.838
Bi 0.750 0.815 0.775
Bi 0.250 0.185 0.225
Pt 0.250 0.652 0.153
Pt 0.750 0.348 0.847
N 0.250 0.085 0.603
N 0.750 0.915 0.397

Values from the calculation:
* space group: No. 11
* ΔE_f (raw): -1.107 eV per atom
* Fermi-level density of states: 7.54 states/eV/cell
* VASP energy: -79.3 eV per cell